1 | The following is a GGA-PBE calculation of crystalline Pr3MgAl2 at its relaxed geometry, from Alexandria.

Results
**DOS at the Fermi energy**: 8.80 states/eV per cell

a = 5.379 Å, b = 5.379 Å, c = 13.166 Å
α = 90.00°, β = 90.00°, γ = 120.00°
Positions (direct):
1 Pr 0.333 0.667 0.417
2 Pr 0.000 0.000 0.757
3 Pr 0.667 0.333 0.077
4 Pr 0.667 0.333 0.583
5 Pr 0.333 0.667 0.923
6 Pr 0.000 0.000 0.243
7 Mg 0.333 0.667 0.669
8 Mg 0.667 0.333 0.331
9 Al 0.000 0.000 0.000
10 Al 0.000 0.000 0.500
11 Al 0.333 0.667 0.174
12 Al 0.667 0.333 0.826



2 | The following is a GGA-PBE calculation of crystalline Pr3MgAl2 at its relaxed geometry, from Alexandria.

Results
**DOS at the Fermi energy**: 4.92 states/eV per cell

a = 3.742 Å, b = 3.742 Å, c = 11.846 Å
α = 90.00°, β = 90.00°, γ = 90.00°
Positions (direct):
1 Al 0.000 0.000 0.335
2 Al 0.000 0.000 0.665
3 Mg 0.000 0.000 0.000
4 Pr 0.500 0.500 0.180
5 Pr 0.500 0.500 0.820
6 Pr 0.500 0.500 0.500



What should be chosen as the most stable of them? Choose 1.



1 | The following is a GGA-PBE calculation of crystalline MgAlPt3 at its relaxed geometry, from Alexandria.

Results
**DOS at the Fermi energy**: 4.51 states/eV per cell

a = 4.574 Å, b = 4.574 Å, c = 4.574 Å
α = 90.00°, β = 90.00°, γ = 90.00°
Positions (direct):
1 Pt 0.000 0.500 0.000
2 Pt 0.500 0.000 0.000
3 Pt 0.000 0.000 0.500
4 Al 0.500 0.500 0.500
5 Mg 0.000 0.000 0.000



2 | The following is a GGA-PBE calculation of crystalline MgAlPt3 at its relaxed geometry, from Alexandria.

Results
**DOS at the Fermi energy**: 2.71 states/eV per cell

a = 4.576 Å, b = 4.576 Å, c = 4.576 Å
α = 90.00°, β = 90.00°, γ = 90.00°
Positions (direct):
1 Mg 0.500 0.500 0.500
2 Pt 0.000 0.000 0.500
3 Pt 0.000 0.500 0.000
4 Pt 0.500 0.000 0.000
5 Al 0.000 0.000 0.000



What should be chosen as the most stable of them? Choose 2.



1 | The following is a GGA-PBE calculation of crystalline Mg3AlPt3 at its relaxed geometry, from Alexandria.

Results
**DOS at the Fermi energy**: 4.33 states/eV per cell

a = 5.612 Å, b = 5.612 Å, c = 7.990 Å
α = 91.51°, β = 91.51°, γ = 103.16°
Positions (direct):
1 Pt 0.479 0.046 0.253
2 Pt 0.037 0.037 0.781
3 Pt 0.963 0.963 0.219
4 Pt 0.521 0.954 0.747
5 Pt 0.954 0.521 0.747
6 Pt 0.046 0.479 0.253
7 Mg 0.822 0.178 0.500
8 Mg 0.245 0.755 0.000
9 Mg 0.578 0.578 0.307
10 Mg 0.178 0.822 0.500
11 Mg 0.755 0.245 0.000
12 Mg 0.422 0.422 0.693
13 Al 0.263 0.263 0.043
14 Al 0.737 0.737 0.957



2 | The following is a GGA-PBE calculation of crystalline Mg3AlPt3 at its relaxed geometry, from Alexandria.

Results
**DOS at the Fermi energy**: 3.88 states/eV per cell

a = 6.437 Å, b = 6.437 Å, c = 5.860 Å
α = 90.00°, β = 90.00°, γ = 87.36°
Positions (direct):
1 Mg 0.255 0.745 0.500
2 Mg 0.745 0.255 0.500
3 Mg 0.744 0.744 0.500
4 Mg 0.277 0.723 0.000
5 Mg 0.723 0.277 0.000
6 Mg 0.256 0.256 0.500
7 Pt 0.500 0.000 0.243
8 Pt 0.000 0.000 0.246
9 Pt 0.500 0.000 0.757
10 Pt 0.000 0.500 0.757
11 Pt 0.000 0.000 0.754
12 Pt 0.000 0.500 0.243
13 Al 0.229 0.229 0.000
14 Al 0.771 0.771 0.000



What should be chosen as the most stable of them? Choose 2.